A relaxed structure of TbScU, computed with GGA-PBE.

Electronic total energy, eV/atom: -7.22
V, A^3/atom: 26.61
ΔH_f (0 K), meV per atom: 200
Crystal system: monoclinic

Structure (POSCAR):
```
TbScU
1.0
7.983 -1.813 0.000
7.983 1.813 0.000
-0.258 0.000 5.517
Tb Sc U
2 2 2
direct
0.095 0.095 0.333
0.905 0.905 0.667
0.417 0.417 0.169
0.583 0.583 0.831
0.244 0.244 0.842
0.756 0.756 0.158
```